## In5Hg (PBE)

Data for crystalline In5Hg at its relaxed geometry.

Lattice parameters (Å, degrees): 6.246 6.246 6.246 60.00 60.00 60.00
Atoms (fractional coordinates):
1 In 0.000 0.000 0.000
2 In 0.126 0.625 0.625
3 In 0.625 0.126 0.625
4 In 0.625 0.625 0.126
5 In 0.625 0.625 0.625
6 Hg 0.250 0.250 0.250

Properties
Volume, Å³/atom: 28.7
Magnetization, Bohr magnetons per cell: 0.00
ΔE_f, eV per atom: 0.100
Excess energy over the best structure of this formula in the dataset, meV per atom: 90


## InHg6 (PBE)

Data for crystalline InHg6 at its relaxed geometry.

Lattice parameters (Å, degrees): 5.339 5.339 7.269 90.00 90.00 90.00
Atoms (fractional coordinates):
1 In 0.000 0.000 0.000
2 Hg 0.000 0.000 0.500
3 Hg 0.000 0.500 0.234
4 Hg 0.000 0.500 0.766
5 Hg 0.500 0.000 0.234
6 Hg 0.500 0.000 0.766
7 Hg 0.500 0.500 0.500

Properties
Volume, Å³/atom: 29.6
Magnetization, Bohr magnetons per cell: 0.00
ΔE_f, eV per atom: 0.014
Excess energy over the best structure of this formula in the dataset, meV per atom: 0


## In3Hg4 (PBE)

Data for crystalline In3Hg4 at its relaxed geometry.

Lattice parameters (Å, degrees): 6.152 6.152 6.044 90.00 90.00 120.00
Atoms (fractional coordinates):
1 In 0.000 0.500 0.000
2 In 0.500 0.000 0.000
3 In 0.500 0.500 0.000
4 Hg 0.000 0.000 0.261
5 Hg 0.000 0.000 0.739
6 Hg 0.333 0.667 0.500
7 Hg 0.667 0.333 0.500

Properties
Volume, Å³/atom: 28.3
Magnetization, Bohr magnetons per cell: 0.00
ΔE_f, eV per atom: 0.062
Excess energy over the best structure of this formula in the dataset, meV per atom: 60


## InHg8 (PBE)

Data for crystalline InHg8 at its relaxed geometry.

Lattice parameters (Å, degrees): 8.226 8.226 8.226 93.05 93.05 153.33
Atoms (fractional coordinates):
1 In 0.000 0.000 0.000
2 Hg 0.000 0.335 0.335
3 Hg 0.000 0.665 0.665
4 Hg 0.332 0.332 0.664
5 Hg 0.332 0.668 0.000
6 Hg 0.335 0.000 0.335
7 Hg 0.665 0.000 0.665
8 Hg 0.668 0.332 0.000
9 Hg 0.668 0.668 0.336

Properties
Volume, Å³/atom: 27.0
Magnetization, Bohr magnetons per cell: 0.00
ΔE_f, eV per atom: 0.004
Excess energy over the best structure of this formula in the dataset, meV per atom: 0


## InHg (PBE)

Data for crystalline InHg at its relaxed geometry.

Lattice parameters (Å, degrees): 9.886 10.401 6.287 90.00 90.00 90.00
Atoms (fractional coordinates):
1 In 0.113 0.070 0.250
2 In 0.113 0.430 0.750
3 In 0.353 0.603 0.250
4 In 0.353 0.897 0.750
5 In 0.379 0.250 0.000
6 In 0.379 0.250 0.500
7 In 0.621 0.750 0.000
8 In 0.621 0.750 0.500
9 In 0.647 0.103 0.250
10 In 0.647 0.397 0.750
11 In 0.887 0.570 0.250
12 In 0.887 0.930 0.750
13 Hg 0.119 0.750 0.000
14 Hg 0.119 0.750 0.500
15 Hg 0.134 0.107 0.750
16 Hg 0.134 0.393 0.250
17 Hg 0.387 0.571 0.750
18 Hg 0.387 0.929 0.250
19 Hg 0.613 0.071 0.750
20 Hg 0.613 0.429 0.250
21 Hg 0.866 0.607 0.750
22 Hg 0.866 0.893 0.250
23 Hg 0.881 0.250 0.000
24 Hg 0.881 0.250 0.500

Properties
Volume, Å³/atom: 26.9
Magnetization, Bohr magnetons per cell: 0.00
ΔE_f, eV per atom: 0.011


## InHgIr2 (PBE)

Data for crystalline InHgIr2 at its relaxed geometry.

Lattice parameters (Å, degrees): 2.929 2.929 8.582 90.00 90.00 90.00
Atoms (fractional coordinates):
1 In 0.000 0.000 0.000
2 Hg 0.500 0.500 0.684
3 Ir 0.000 0.000 0.437
4 Ir 0.500 0.500 0.237

Properties
Volume, Å³/atom: 18.4
Magnetization, Bohr magnetons per cell: 0.01
ΔE_f, eV per atom: 0.324
Excess energy over the best structure of this formula in the dataset, meV per atom: 46